A relaxed structure of CoPS2N, computed with PBE.

## Properties
Formation energy (no corrections) in meV per atom: 1190
Energy above the most stable polymorph in this dataset in eV/f.u.: 6.21
Uncorrected energy in eV per atom: -4.63

Cell and atoms, written as CIF:
```
data_CoPS2N
_cell_length_a 4.204
_cell_length_b 4.204
_cell_length_c 3.766
_cell_angle_alpha 90.00
_cell_angle_beta 90.00
_cell_angle_gamma 90.00
_space_group_name_H-M_alt 'P 4/m m m'
_space_group_IT_number 123
_space_group_name_Hall '-P 4 2'
loop_
_atom_site_label
_atom_site_type_symbol
_atom_site_fract_x
_atom_site_fract_y
_atom_site_fract_z
_atom_site_occupancy
Co1 Co 0.000 0.000 0.000 1
P1 P 0.500 0.500 0.000 1
S1 S 0.000 0.500 0.500 1
N1 N 0.500 0.500 0.500 1
```

***

A relaxed structure of NdDy2Tm7, computed with PBE.

## Properties
Energy above the most stable polymorph in this dataset in eV/f.u.: 0.00
Uncorrected energy in eV per atom: -4.48
Energy of formation from the pure elements in meV per atom: 48

Cell and atoms, written as CIF:
```
data_NdDy2Tm7
_cell_length_a 8.795
_cell_length_b 16.504
_cell_length_c 5.376
_cell_angle_alpha 90.00
_cell_angle_beta 127.63
_cell_angle_gamma 90.00
_space_group_name_H-M_alt 'C 1 2/m 1'
_space_group_IT_number 12
loop_
_space_group_symop_operation_xyz
'x,y,z'
'-x,-y,-z'
'-x,y,-z'
'x,-y,z'
'x+1/2,y+1/2,z'
'-x+1/2,-y+1/2,-z'
'-x+1/2,y+1/2,-z'
'x+1/2,-y+1/2,z'
loop_
_atom_site_label
_atom_site_type_symbol
_atom_site_fract_x
_atom_site_fract_y
_atom_site_fract_z
_atom_site_occupancy
Nd1 Nd 0.000 0.000 0.000 1
Dy1 Dy 0.000 0.301 0.500 1
Tm1 Tm 0.000 0.201 0.000 1
Tm2 Tm 0.000 0.500 0.500 1
Tm3 Tm 0.248 0.390 0.248 1
```

***

A relaxed structure of NaHo3Fe, computed with PBE.

## Properties
Uncorrected energy in eV per atom: -4.57
Energy of formation from the pure elements in meV per atom: 138

Cell and atoms, written as CIF:
```
data_NaHo3Fe
_cell_length_a 5.258
_cell_length_b 5.258
_cell_length_c 5.258
_cell_angle_alpha 90.00
_cell_angle_beta 90.00
_cell_angle_gamma 90.00
_space_group_name_H-M_alt 'P m -3 m'
_space_group_IT_number 221
_space_group_name_Hall '-P 4 2 3'
loop_
_atom_site_label
_atom_site_type_symbol
_atom_site_fract_x
_atom_site_fract_y
_atom_site_fract_z
_atom_site_occupancy
Na1 Na 0.000 0.000 0.000 1
Ho1 Ho 0.000 0.500 0.500 1
Fe1 Fe 0.500 0.500 0.500 1
```

***

A relaxed structure of PmNdHg2, computed with PBE.

## Properties
Energy above the most stable polymorph in this dataset in eV/f.u.: 0.62
Uncorrected energy in eV per atom: -2.85
Energy of formation from the pure elements in meV per atom: -319

Cell and atoms, written as CIF:
```
data_PmNdHg2
_cell_length_a 3.8675
_cell_length_b 3.8675
_cell_length_c 28.3258
_cell_angle_alpha 90.00
_cell_angle_beta 90.00
_cell_angle_gamma 120.00
_space_group_name_H-M_alt 'R -3 m'
_space_group_IT_number 166
_space_group_name_Hall '-R 3 2"'
loop_
_atom_site_label
_atom_site_type_symbol
_atom_site_fract_x
_atom_site_fract_y
_atom_site_fract_z
_atom_site_occupancy
Pm1 Pm 0.0000 0.0000 0.0000 1
Nd1 Nd 0.0000 0.0000 0.5000 1
Hg1 Hg 0.0000 0.0000 0.2508 1
```

***

A relaxed structure of Li3InHg, computed with PBE.

## Properties
Energy above the most stable polymorph in this dataset in eV/f.u.: 2.41
Uncorrected energy in eV per atom: -1.58
Energy of formation from the pure elements in meV per atom: 173

Cell and atoms, written as CIF:
```
data_Li3InHg
_cell_length_a 5.196
_cell_length_b 5.196
_cell_length_c 5.196
_cell_angle_alpha 90.00
_cell_angle_beta 90.00
_cell_angle_gamma 90.00
_space_group_name_H-M_alt 'P m -3 m'
_space_group_IT_number 221
_space_group_name_Hall '-P 4 2 3'
loop_
_atom_site_label
_atom_site_type_symbol
_atom_site_fract_x
_atom_site_fract_y
_atom_site_fract_z
_atom_site_occupancy
Li1 Li 0.000 0.000 0.500 1
In1 In 0.000 0.000 0.000 1
Hg1 Hg 0.500 0.500 0.500 1
```

***

A relaxed structure of SrMoRh, computed with PBE.

## Properties
Energy above the most stable polymorph in this dataset in eV/f.u.: 1.61
Uncorrected energy in eV per atom: -5.75
Energy of formation from the pure elements in meV per atom: 872

Cell and atoms, written as CIF:
```
data_SrMoRh
_cell_length_a 6.540
_cell_length_b 6.540
_cell_length_c 6.540
_cell_angle_alpha 90.00
_cell_angle_beta 90.00
_cell_angle_gamma 90.00
_space_group_name_H-M_alt 'F -4 3 m'
_space_group_IT_number 216
_space_group_name_Hall 'F -4 2 3'
loop_
_atom_site_label
_atom_site_type_symbol
_atom_site_fract_x
_atom_site_fract_y
_atom_site_fract_z
_atom_site_occupancy
Sr1 Sr 0.000 0.000 0.000 1
Mo1 Mo 0.000 0.000 0.500 1
Rh1 Rh 0.250 0.250 0.250 1
```

***

A relaxed structure of AgW2I, computed with PBE.

## Properties
Formation energy (no corrections) in meV per atom: 1418
Energy above the most stable polymorph in this dataset in eV/f.u.: 0.31
Uncorrected energy in eV per atom: -6.16

Cell and atoms, written as CIF:
```
data_AgW2I
_cell_length_a 6.564
_cell_length_b 6.564
_cell_length_c 6.564
_cell_angle_alpha 90.00
_cell_angle_beta 90.00
_cell_angle_gamma 90.00
_space_group_name_H-M_alt 'F m -3 m'
_space_group_IT_number 225
_space_group_name_Hall '-F 4 2 3'
loop_
_atom_site_label
_atom_site_type_symbol
_atom_site_fract_x
_atom_site_fract_y
_atom_site_fract_z
_atom_site_occupancy
Ag1 Ag 0.000 0.000 0.000 1
W1 W 0.250 0.250 0.250 1
I1 I 0.000 0.000 0.500 1
```

***

A relaxed structure of Rb3Pm2I9, computed with PBE.

## Properties
Formation energy (no corrections) in meV per atom: -1437
Uncorrected energy in eV per atom: -3.32

Cell and atoms, written as CIF:
```
data_Rb3Pm2I9
_cell_length_a 15.0795
_cell_length_b 15.0795
_cell_length_c 21.3198
_cell_angle_alpha 90.00
_cell_angle_beta 90.00
_cell_angle_gamma 120.00
_space_group_name_H-M_alt 'R -3 c'
_space_group_IT_number 167
_space_group_name_Hall '-R 3 2"c'
loop_
_atom_site_label
_atom_site_type_symbol
_atom_site_fract_x
_atom_site_fract_y
_atom_site_fract_z
_atom_site_occupancy
Rb1 Rb 0.0000 0.3074 0.2500 1
Pm1 Pm 0.0000 0.0000 0.1491 1
I1 I 0.0000 0.1583 0.7500 1
I2 I 0.0196 0.1887 0.4135 1
```

***

- Look up the uncorrected energy of the third one.
  -4.57 eV per atom

***

- Look up the uncorrected energy of the fourth one.
  -2.85 eV per atom